[1]
# CeFe6 PBE optimized geometry
data_CeFe6
_cell_length_a 6.0211
_cell_length_b 6.0211
_cell_length_c 6.0211
_cell_angle_alpha 90.00
_cell_angle_beta 90.00
_cell_angle_gamma 90.00
_space_group_name_H-M_alt 'I m -3 m'
_space_group_IT_number 229
_space_group_name_Hall '-I 4 2 3'
loop_
_atom_site_label
_atom_site_type_symbol
_atom_site_fract_x
_atom_site_fract_y
_atom_site_fract_z
Ce1 Ce 0.0000 0.0000 0.0000
Fe1 Fe 0.0000 0.2500 0.5000
# DFT formation energy	0.578	eV/atom

=====

[2]
# K2NiBr PBE optimized geometry
data_K2NiBr
_cell_length_a 3.9188
_cell_length_b 3.9299
_cell_length_c 8.2836
_cell_angle_alpha 90.00
_cell_angle_beta 90.07
_cell_angle_gamma 90.00
_space_group_name_H-M_alt 'P 1 2/m 1'
_space_group_IT_number 10
_space_group_name_Hall '-P 2y'
loop_
_atom_site_label
_atom_site_type_symbol
_atom_site_fract_x
_atom_site_fract_y
_atom_site_fract_z
K1 K 0.0014 0.0000 0.2395
Ni1 Ni 0.5000 0.5000 0.5000
Br1 Br 0.5000 0.5000 0.0000
# excess energy over the best structure of this formula in the dataset	0.000	eV/atom
# raw formation energy	-1.1	eV per formula unit

=====

[3]
# Na10B13C7 PBE optimized geometry
data_Na10B13C7
_cell_length_a 22.8282
_cell_length_b 2.8346
_cell_length_c 9.9002
_cell_angle_alpha 90.00
_cell_angle_beta 107.62
_cell_angle_gamma 90.00
_space_group_name_H-M_alt 'C 1 m 1'
_space_group_IT_number 8
_space_group_name_Hall 'C -2y'
loop_
_atom_site_label
_atom_site_type_symbol
_atom_site_fract_x
_atom_site_fract_y
_atom_site_fract_z
Na1 Na 0.0000 0.0000 0.0000
Na2 Na 0.0007 0.5000 0.4949
Na3 Na 0.1000 0.5000 0.2003
Na4 Na 0.1008 0.0000 0.6975
Na5 Na 0.2003 0.0000 0.4010
Na6 Na 0.2009 0.5000 0.8975
Na7 Na 0.3001 0.5000 0.5990
Na8 Na 0.3014 0.0000 0.0984
Na9 Na 0.3990 0.0000 0.8003
Na10 Na 0.4003 0.5000 0.2985
B1 B 0.0160 0.0000 0.2801
B2 B 0.0173 0.5000 0.7824
B3 B 0.0827 0.5000 0.9134
B4 B 0.1163 0.5000 0.4795
B5 B 0.1217 0.0000 0.9914
B6 B 0.1894 0.0000 0.1261
B7 B 0.2160 0.0000 0.6799
B8 B 0.2810 0.5000 0.3102
B9 B 0.3160 0.5000 0.8807
B10 B 0.3183 0.0000 0.3850
B11 B 0.3855 0.0000 0.5194
B12 B 0.4159 0.0000 0.0807
B13 B 0.4767 0.5000 0.7013
C1 C 0.0832 0.0000 0.4128
C2 C 0.1831 0.5000 0.6134
C3 C 0.2184 0.5000 0.1842
C4 C 0.2828 0.0000 0.8142
C5 C 0.3828 0.5000 0.0142
C6 C 0.4159 0.5000 0.5802
C7 C 0.4826 0.0000 0.2145
# DFT formation energy	0.105	eV/atom
# excess energy over the best structure of this formula in the dataset	0.020	eV/atom

=====

Number 1: calculated volume 218 Å³ per cell, total magnetization 0.3 μB per formula unit. Number 2: calculated volume 128 Å³ per cell, total magnetization 0.9 μB per formula unit. Number 3: calculated volume 611 Å³ per cell, total magnetization 0.0 μB per formula unit.